(1)
## Te2RuAu (meta-GGA SCAN)

Data for Te2RuAu at its PBEsol-relaxed geometry.

Cell: 3.7258 3.7258 21.3417 Å, 90.00 90.00 120.00°
Last column: nearest neighbours and their distance in Å.
Space group R-3m (No. 166, hexagonal axes)
Symmetry-distinct sites (fractional):
Te 0.0000 0.0000 0.2394 [6 per cell]  3 Ru 2.65, 3 Au 2.94
Ru 0.0000 0.0000 0.5000 [3 per cell]  6 Te 2.65
Au 0.0000 0.0000 0.0000 [3 per cell]  6 Te 2.94

Energy relative to the lowest polymorph listed for this composition   0 meV per atom

***

(2)
## TeRuAu2 (meta-GGA SCAN)

Data for TeRuAu2 at its PBEsol-relaxed geometry.

Cell: 2.9703 2.9703 28.9619 Å, 90.00 90.00 120.00°
Last column: nearest neighbours and their distance in Å.
Space group R-3m (No. 166, hexagonal axes)
Symmetry-distinct sites (fractional):
Te 0.0000 0.0000 0.0000 [3 per cell]  6 Te 2.97, 6 Au 3.17
Ru 0.0000 0.0000 0.5000 [3 per cell]  6 Au 2.76, 6 Ru 2.97
Au 0.0000 0.0000 0.2412 [6 per cell]  3 Ru 2.76, 6 Au 2.97

***

(3)
## TeRu2Au (meta-GGA SCAN)

Data for TeRu2Au at its PBEsol-relaxed geometry.

Cell: 4.2601 4.2601 3.5066 Å, 90.00 90.00 90.00°
Last column: nearest neighbours and their distance in Å.
Space group P4/mmm (No. 123)
Symmetry-distinct sites (fractional):
Te 0.0000 0.0000 0.0000 [1 per cell]  8 Ru 2.76, 4 Au 3.01
Ru 0.0000 0.5000 0.5000 [2 per cell]  4 Te 2.76, 4 Au 2.76, 4 Ru 3.01
Au 0.5000 0.5000 0.0000 [1 per cell]  8 Ru 2.76, 4 Te 3.01

***

(4)
## TeRu2Au (meta-GGA SCAN)

Data for TeRu2Au at its PBEsol-relaxed geometry.

Cell: 2.9057 2.9057 28.1905 Å, 90.00 90.00 120.00°
Last column: nearest neighbours and their distance in Å.
Space group R3m (No. 160, hexagonal axes)
Symmetry-distinct sites (fractional):
Te 0.0000 0.0000 0.0000 [3 per cell]  3 Ru 2.78, 6 Te 2.91
Ru 0.0000 0.0000 0.4812 [3 per cell]  3 Ru 2.57, 3 Au 2.84
Ru 0.0000 0.0000 0.7455 [3 per cell]  3 Ru 2.57, 3 Te 2.78
Au 0.0000 0.0000 0.2291 [3 per cell]  3 Ru 2.84, 6 Au 2.91

***

Calculated values (meV/atom) of energy relative to the elements, uncorrected for the records, taken in order: 34, 544, 410, 472.